1.
Compound: PmZrPdAu
Source: Alexandria
Functional: PBE
Structure: optimized geometry

- Space group: No. 216

extended XYZ file:
```
4
Lattice="0.000 3.521 3.521 3.521 0.000 3.521 3.521 3.521 0.000" Properties=species:S:1:pos:R:3 pbc="T T T"
Pm 0.000 0.000 0.000
Zr 3.521 3.521 3.521
Pd 5.282 5.282 5.282
Au 1.761 1.761 1.761
```

=====

2.
Compound: Pr2PdAu3
Source: Alexandria
Functional: PBE
Structure: optimized geometry

- Space group: No. 25

extended XYZ file:
```
6
Lattice="3.694 0.000 0.000 0.000 4.841 0.000 0.000 0.000 7.975" Properties=species:S:1:pos:R:3 pbc="T T T"
Pr 0.000 0.000 0.000
Pr 0.000 2.421 3.848
Pd 1.847 0.000 2.498
Au 1.847 0.000 5.209
Au 1.847 2.421 1.286
Au 1.847 2.421 6.516
```

=====

3.
Compound: Pr3Pd3Au2
Source: Alexandria
Functional: PBE
Structure: optimized geometry

- Space group: No. 63

extended XYZ file:
```
16
Lattice="2.176 -5.687 0.000 2.176 5.687 0.000 0.000 0.000 15.244" Properties=species:S:1:pos:R:3 pbc="T T T"
Pr 2.176 4.773 9.202
Pr 2.176 4.773 13.665
Pr 2.176 1.710 11.433
Pr 2.176 -1.710 3.811
Pr 2.176 -4.773 1.580
Pr 2.176 -4.773 6.043
Pd 2.176 1.331 3.811
Pd 2.176 1.190 8.235
Pd 2.176 1.190 14.631
Pd 2.176 -1.190 0.613
Pd 2.176 -1.190 7.009
Pd 2.176 -1.331 11.433
Au 2.176 3.213 1.658
Au 2.176 3.213 5.964
Au 2.176 -3.213 9.280
Au 2.176 -3.213 13.587
```

=====

4.
Compound: Pr3Pd3Au2
Source: Alexandria
Functional: PBE
Structure: optimized geometry

- Space group: No. 62

extended XYZ file:
```
32
Lattice="7.619 0.000 0.000 0.000 17.092 0.000 0.000 0.000 5.744" Properties=species:S:1:pos:R:3 pbc="T T T"
Pr 0.224 1.733 0.776
Pr 0.224 6.813 0.776
Pr 1.276 4.273 3.594
Pr 2.533 12.819 0.722
Pr 3.586 10.279 3.648
Pr 3.586 15.359 3.648
Pr 4.033 1.733 2.096
Pr 4.033 6.813 2.096
Pr 5.085 4.273 5.022
Pr 6.342 12.819 2.150
Pr 7.395 10.279 4.968
Pr 7.395 15.359 4.968
Pd 1.435 0.433 3.304
Pd 1.435 8.113 3.304
Pd 1.486 12.819 3.756
Pd 2.323 4.273 0.884
Pd 2.374 8.979 0.431
Pd 2.374 16.659 0.431
Pd 5.244 0.433 5.313
Pd 5.244 8.113 5.313
Pd 5.296 12.819 4.861
Pd 6.132 4.273 1.988
Pd 6.183 8.979 2.441
Pd 6.183 16.659 2.441
Au 0.872 10.582 2.079
Au 0.872 15.055 2.079
Au 2.938 2.036 4.951
Au 2.938 6.510 4.951
Au 4.681 10.582 0.793
Au 4.681 15.055 0.793
Au 6.747 2.036 3.665
Au 6.747 6.510 3.665
```

=====

5.
Compound: Pr2Pd4Au
Source: Alexandria
Functional: PBE
Structure: optimized geometry

- Space group: No. 12

extended XYZ file:
```
7
Lattice="2.810 -4.373 0.000 2.810 4.373 0.000 -1.943 0.000 7.316" Properties=species:S:1:pos:R:3 pbc="T T T"
Pr 0.008 0.000 1.823
Pr 3.668 0.000 5.493
Pd 1.405 2.186 0.000
Pd 0.816 0.000 4.593
Pd 1.405 -2.186 0.000
Pd 2.860 0.000 2.723
Au 2.810 0.000 0.000
```

=====

6.
Compound: Pr2PdAu2
Source: Alexandria
Functional: PBE
Structure: optimized geometry

- Space group: No. 12

extended XYZ file:
```
10
Lattice="5.415 -2.067 0.000 5.415 2.067 0.000 -4.254 0.000 10.968" Properties=species:S:1:pos:R:3 pbc="T T T"
Pr -1.358 0.000 3.740
Pr 1.499 0.000 1.256
Pr 5.076 0.000 9.712
Pr 7.932 0.000 7.229
Pd 0.290 0.000 7.579
Pd 6.285 0.000 3.390
Au 1.897 0.000 4.932
Au 4.508 0.000 1.207
Au 2.067 0.000 9.762
Au 4.678 0.000 6.036
```

=====

7.
Compound: Pr2Pd6Au
Source: Alexandria
Functional: PBE
Structure: optimized geometry

- E above lowest polymorph: 0 meV per atom
- Space group: No. 164

extended XYZ file:
```
9
Lattice="5.753 0.000 0.000 -2.877 4.982 0.000 0.000 0.000 6.228" Properties=species:S:1:pos:R:3 pbc="T T T"
Pr 0.000 3.322 1.076
Pr 2.877 1.661 5.152
Pd 0.000 1.744 4.184
Pd -1.366 4.110 4.184
Pd 1.510 0.872 2.044
Pd 1.366 4.110 4.184
Pd 4.243 0.872 2.044
Pd 2.877 3.238 2.044
Au 0.000 0.000 0.000
```

=====

8.
Compound: Pr2Pd3Au2
Source: Alexandria
Functional: PBE
Structure: optimized geometry

- E above lowest polymorph: 0 meV per atom
- Space group: No. 12

extended XYZ file:
```
7
Lattice="5.017 -2.105 0.000 5.017 2.105 0.000 -4.175 0.000 7.361" Properties=species:S:1:pos:R:3 pbc="T T T"
Pr 0.838 0.000 2.036
Pr 5.022 0.000 5.325
Pd 2.081 0.000 4.786
Pd 5.017 0.000 0.000
Pd 3.778 0.000 2.574
Au -2.103 0.000 6.499
Au 7.962 0.000 0.861
```

=====

9.
Compound: Pr12Pd6Au
Source: Alexandria
Functional: PBE
Structure: optimized geometry

- Space group: No. 148

extended XYZ file:
```
19
Lattice="6.622 3.823 4.041 -6.622 3.823 4.041 0.000 -7.646 4.041" Properties=species:S:1:pos:R:3 pbc="T T T"
Pr -5.711 -1.398 6.676
Pr -1.645 -5.645 5.446
Pr -2.623 -0.308 4.733
Pr -4.066 4.247 5.446
Pr 1.578 -2.117 4.733
Pr -1.044 -2.425 7.389
Pr 1.044 2.425 4.733
Pr -1.578 2.117 7.389
Pr 4.066 -4.247 6.676
Pr 2.623 0.308 7.389
Pr 1.645 5.645 6.676
Pr 5.711 1.398 5.446
Pd -1.170 -2.998 4.292
Pd -2.011 2.512 4.292
Pd -3.181 -0.486 7.830
Pd 3.181 0.486 4.292
Pd 2.011 -2.512 7.830
Pd 1.170 2.998 7.830
Au 0.000 0.000 0.000
```

=====

10.
Compound: Pr8PdAu2
Source: Alexandria
Functional: PBE
Structure: optimized geometry

- E above lowest polymorph: 114 meV per atom
- Space group: No. 8

extended XYZ file:
```
11
Lattice="4.404 -6.948 0.000 4.404 6.948 0.000 -2.367 0.000 5.756" Properties=species:S:1:pos:R:3 pbc="T T T"
Pr 0.000 0.000 0.000
Pr -0.090 1.741 3.211
Pr 2.732 2.783 1.093
Pr -0.090 -1.741 3.211
Pr 3.251 1.750 4.662
Pr 2.732 -2.783 1.093
Pr 3.251 -1.750 4.662
Pr 5.546 0.000 2.228
Pd 2.400 0.000 2.219
Au 1.582 4.212 3.998
Au 1.582 -4.212 3.998
```

=====

11.
Compound: PrPd2Au6
Source: Alexandria
Functional: PBE
Structure: optimized geometry

- Space group: No. 191

extended XYZ file:
```
9
Lattice="5.584 0.000 0.000 -2.792 4.836 0.000 0.000 0.000 7.568" Properties=species:S:1:pos:R:3 pbc="T T T"
Pr 0.000 0.000 0.000
Pd 0.000 3.224 3.784
Pd 2.792 1.612 3.784
Au -1.396 2.418 1.532
Au -1.396 2.418 6.036
Au 2.792 0.000 1.532
Au 2.792 0.000 6.036
Au 1.396 2.418 1.532
Au 1.396 2.418 6.036
```

=====

12.
Compound: PrPdAu2
Source: Alexandria
Functional: PBE
Structure: optimized geometry

- E above lowest polymorph: 0 meV per atom
- Space group: No. 11

extended XYZ file:
```
8
Lattice="4.392 0.000 0.000 0.000 7.642 0.000 -2.181 0.000 5.109" Properties=species:S:1:pos:R:3 pbc="T T T"
Pr 0.005 1.910 0.780
Pr 2.207 5.731 4.329
Pd -0.003 5.731 2.221
Pd 2.215 1.910 2.888
Au 0.018 0.425 3.767
Au 0.018 3.396 3.767
Au 2.193 4.245 1.342
Au 2.193 7.217 1.342
```

=====

ΔE_f readings, ordered: -543 -747 -758 -760 -284 -795 -621 -607 -420 -281 -149 -702 meV/atom
Raw total energy readings, ordered: -23.9 -29.1 -85.1 -170.2 -35.6 -50.6 -49.6 -35.9 -99.8 -53.1 -36.2 -38.7 eV per cell